Entry 1:
SrScTe2 | PBE | relaxed

Lattice parameters (Å, degrees): 6.301 4.462 4.461 90.00 90.00 90.00
Fractional positions:
Sr  0.500  0.875  0.875
Te  0.500  0.375  0.375
Te  0.000  0.875  0.875
Sc  0.000  0.375  0.376

Properties
Energy above the lowest structure with this stoichiometry   11.25 kJ per mole of atoms
Crystal system   tetragonal

=====

Entry 2:
KSr2SiRh | PBE | relaxed

Lattice parameters (Å, degrees): 5.948 5.948 4.739 90.00 90.00 90.00
Fractional positions:
K  0.500  0.500  0.500
Si  0.000  0.000  0.500
Rh  0.000  0.000  0.000
Sr  0.500  0.000  0.000
Sr  0.000  0.500  0.000

Properties
Crystal system   tetragonal
Uncorrected energy   -3.635 eV/atom

=====

Entry 3:
Tl6In8Bi | PBE | relaxed

Lattice parameters (Å, degrees): 6.280 9.158 9.156 120.09 90.01 90.01
Fractional positions:
Tl  0.337  0.336  0.891
Tl  0.663  0.664  0.109
Tl  0.663  0.892  0.556
Tl  0.663  0.445  0.336
Tl  0.337  0.108  0.444
Tl  0.337  0.555  0.664
In  0.818  0.334  0.667
In  0.162  0.287  0.224
In  0.162  0.776  0.064
In  0.162  0.936  0.712
In  0.838  0.064  0.288
In  0.838  0.713  0.776
In  0.182  0.666  0.333
In  0.838  0.224  0.936
Bi  0.500  0.000  0.000

Properties
Formation enthalpy at 0 K   0.045 eV/atom
Crystal system   triclinic

=====

Entry 4:
Er3HfRu4 | PBE | relaxed

Lattice parameters (Å, degrees): 3.324 3.324 13.413 90.00 90.00 90.00
Fractional positions:
Er  0.500  0.500  0.500
Er  0.500  0.500  0.752
Er  0.500  0.500  0.248
Ru  0.000  0.000  0.115
Ru  0.000  0.000  0.885
Ru  0.000  0.000  0.372
Ru  0.000  0.000  0.628
Hf  0.500  0.500  0.000

Properties
Formation enthalpy at 0 K   -0.507 eV/atom
Crystal system   tetragonal

=====

Entry 5:
Gd2TeRu | PBE | relaxed

Lattice parameters (Å, degrees): 3.592 3.592 7.522 90.00 90.00 90.00
Fractional positions:
Te  0.500  0.500  0.500
Gd  0.000  0.000  0.778
Gd  0.000  0.000  0.222
Ru  0.500  0.500  0.000

Properties
Energy above the lowest structure with this stoichiometry   0.00 kJ per mole of atoms
Crystal system   tetragonal

=====

Entry 6:
LiPr3O | PBE | relaxed

Lattice parameters (Å, degrees): 5.052 5.052 5.052 90.00 90.00 90.00
Fractional positions:
Pr  0.500  0.000  0.000
Pr  0.000  0.000  0.500
Pr  0.000  0.500  0.000
O  0.000  0.000  0.000
Li  0.500  0.500  0.500

Properties
Crystal system   cubic
Uncorrected energy   -5.259 eV/atom

=====

Entry 7:
Nd2Ga3Co5C2 | PBE | relaxed

Lattice parameters (Å, degrees): 3.870 3.870 11.752 99.48 99.48 90.00
Fractional positions:
Co  0.500  0.500  0.000
Co  0.578  0.078  0.156
Co  0.422  0.922  0.844
Co  0.922  0.422  0.844
Co  0.078  0.578  0.156
C  0.583  0.583  0.165
C  0.417  0.417  0.835
Ga  0.146  0.146  0.292
Ga  0.000  0.000  0.000
Ga  0.854  0.854  0.708
Nd  0.697  0.697  0.393
Nd  0.303  0.303  0.607

Properties
Formation enthalpy at 0 K   -0.216 eV/atom
Crystal system   tetragonal

=====

Entry 8:
MgTlF3 | PBE | relaxed

Lattice parameters (Å, degrees): 6.704 6.704 6.704 58.96 58.96 58.96
Fractional positions:
F  0.750  0.030  0.470
F  0.470  0.750  0.030
F  0.970  0.530  0.250
F  0.530  0.250  0.970
F  0.250  0.970  0.530
F  0.030  0.470  0.750
Tl  0.000  0.000  0.000
Tl  0.500  0.500  0.500
Mg  0.750  0.750  0.750
Mg  0.250  0.250  0.250

Properties
Crystal system   trigonal
Uncorrected energy   -4.466 eV/atom

=====

Calculated ρ in order - 5.1 3.4 8.6 12.2 9.3 5.7 7.9 4.6 g/cm3